A geometry-optimized PmSiTe3 structure, computed with PBE.

```
data_PmSiTe3
_cell_length_a 8.950
_cell_length_b 7.153
_cell_length_c 9.860
_cell_angle_alpha 90.00
_cell_angle_beta 90.00
_cell_angle_gamma 90.00
_space_group_name_H-M_alt 'P n a 21'
_space_group_IT_number 33
loop_
_space_group_symop_operation_xyz
'x,y,z'
'-x,-y,z+1/2'
'-x+1/2,y+1/2,z+1/2'
'x+1/2,-y+1/2,z'
loop_
_atom_site_label
_atom_site_fract_x
_atom_site_fract_y
_atom_site_fract_z
Pm1 0.126 0.056 0.000
Si1 0.229 0.665 0.112
Te1 0.044 0.341 0.495
Te2 0.168 0.851 0.693
Te3 0.187 0.863 0.326
```

Results
Raw formation energy in eV/atom: -0.5993
Polymorph energy (0 for the lowest one) in meV/atom: 0



A geometry-optimized PaNbSi2Os structure, computed with PBE.

```
data_PaNbSi2Os
_cell_length_a 4.036
_cell_length_b 4.036
_cell_length_c 10.868
_cell_angle_alpha 90.00
_cell_angle_beta 90.00
_cell_angle_gamma 90.00
_space_group_name_H-M_alt 'I -4 m 2'
_space_group_IT_number 119
_space_group_name_Hall 'I -4 -2'
loop_
_atom_site_label
_atom_site_fract_x
_atom_site_fract_y
_atom_site_fract_z
Pa1 0.000 0.000 0.000
Nb1 0.000 0.500 0.250
Si1 0.000 0.000 0.392
Os1 0.000 0.500 0.750
```

Results
Raw formation energy in eV/atom: -0.5095



A geometry-optimized AcLa2Cd2Ag2 structure, computed with PBE.

```
data_AcLa2Cd2Ag2
_cell_length_a 4.9854
_cell_length_b 4.9854
_cell_length_c 28.6397
_cell_angle_alpha 90.00
_cell_angle_beta 90.00
_cell_angle_gamma 120.00
_space_group_name_H-M_alt 'R -3 m'
_space_group_IT_number 166
_space_group_name_Hall '-R 3 2"'
loop_
_atom_site_label
_atom_site_fract_x
_atom_site_fract_y
_atom_site_fract_z
Ac1 0.0000 0.0000 0.0000
La1 0.0000 0.0000 0.1277
Cd1 0.0000 0.0000 0.2582
Ag1 0.0000 0.0000 0.4052
```

Results
Formation energy from the elements in meV per atom: -229



A geometry-optimized Y12Mn2Co5 structure, computed with PBE.

```
data_Y12Mn2Co5
_cell_length_a 9.9442
_cell_length_b 9.9442
_cell_length_c 16.8190
_cell_angle_alpha 90.00
_cell_angle_beta 90.00
_cell_angle_gamma 120.00
_space_group_name_H-M_alt 'R -3 m'
_space_group_IT_number 166
_space_group_name_Hall '-R 3 2"'
loop_
_atom_site_label
_atom_site_fract_x
_atom_site_fract_y
_atom_site_fract_z
Y1 0.0000 0.3058 0.0000
Y2 0.0902 0.5451 0.8506
Mn1 0.0000 0.0000 0.3623
Co1 0.0000 0.0000 0.0670
Co2 0.0000 0.5000 0.5000
```

Results
Formation energy from the elements in meV per atom: 272



A geometry-optimized FeAg2Se structure, computed with PBE.

```
data_FeAg2Se
_cell_length_a 3.937
_cell_length_b 3.937
_cell_length_c 4.497
_cell_angle_alpha 90.00
_cell_angle_beta 90.00
_cell_angle_gamma 90.00
_space_group_name_H-M_alt 'P 4/m m m'
_space_group_IT_number 123
_space_group_name_Hall '-P 4 2'
loop_
_atom_site_label
_atom_site_fract_x
_atom_site_fract_y
_atom_site_fract_z
Fe1 0.000 0.000 0.000
Ag1 0.000 0.500 0.500
Se1 0.500 0.500 0.000
```

Results
Raw formation energy in eV/atom: 0.3134



A geometry-optimized DyMgSi2 structure, computed with PBE.

```
data_DyMgSi2
_cell_length_a 7.935
_cell_length_b 3.755
_cell_length_c 10.626
_cell_angle_alpha 90.00
_cell_angle_beta 90.00
_cell_angle_gamma 90.00
_space_group_name_H-M_alt 'P n m a'
_space_group_IT_number 62
loop_
_space_group_symop_operation_xyz
'x,y,z'
'-x,-y,-z'
'-x+1/2,-y,z+1/2'
'x+1/2,y,-z+1/2'
'x+1/2,-y+1/2,-z+1/2'
'-x+1/2,y+1/2,z+1/2'
'-x,y+1/2,-z'
'x,-y+1/2,z'
loop_
_atom_site_label
_atom_site_fract_x
_atom_site_fract_y
_atom_site_fract_z
Dy1 0.129 0.250 0.146
Mg1 0.004 0.750 0.391
Si1 0.164 0.250 0.818
Si2 0.246 0.750 0.945
```

Results
Raw formation energy in eV/atom: -0.4352



A geometry-optimized Pb2NCl structure, computed with PBE.

```
data_Pb2NCl
_cell_length_a 7.000
_cell_length_b 7.000
_cell_length_c 7.000
_cell_angle_alpha 90.00
_cell_angle_beta 90.00
_cell_angle_gamma 90.00
_space_group_name_H-M_alt 'F m -3 m'
_space_group_IT_number 225
_space_group_name_Hall '-F 4 2 3'
loop_
_atom_site_label
_atom_site_fract_x
_atom_site_fract_y
_atom_site_fract_z
Pb1 0.250 0.250 0.250
N1 0.000 0.000 0.000
Cl1 0.000 0.000 0.500
```

Results
Raw formation energy in eV/atom: 0.5021
Polymorph energy (0 for the lowest one) in meV/atom: 477



A geometry-optimized BeSiSeN2 structure, computed with PBE.

```
data_BeSiSeN2
_cell_length_a 3.375
_cell_length_b 3.375
_cell_length_c 6.746
_cell_angle_alpha 90.00
_cell_angle_beta 90.00
_cell_angle_gamma 90.00
_space_group_name_H-M_alt 'P 4/m m m'
_space_group_IT_number 123
_space_group_name_Hall '-P 4 2'
loop_
_atom_site_label
_atom_site_fract_x
_atom_site_fract_y
_atom_site_fract_z
Be1 0.000 0.000 0.000
Si1 0.500 0.500 0.500
Se1 0.500 0.500 0.000
N1 0.000 0.500 0.500
```

Results
Raw formation energy in eV/atom: 0.4371
Polymorph energy (0 for the lowest one) in meV/atom: 0



Total magnetic moment list, top to bottom, in μB/f.u.: 0.00, 0.00, 0.00, 4.81, 3.24, 0.00, 0.00, 0.00